No. 1
Here is CdNiBi2N after structural relaxation from Alexandria via LeMat-Bulk. Energies are from PBE.

The crystal system is tetragonal. Its space group is P4/mmm (123). For the formation energy from raw total energies, the calculation gives 3.72 eV/f.u.

Cell lengths 5.025, 4.237, 5.025 Å; angles 90.00, 90.00, 90.00 degrees
Sites, in units of the cell vectors:
1 Bi 0.000 0.000 0.500
2 Bi 0.500 0.000 0.000
3 Cd 0.000 0.500 0.000
4 N 0.000 0.000 0.000
5 Ni 0.500 0.500 0.500

---

No. 2
Here is PuAlSi6Pt2 after structural relaxation from Alexandria via LeMat-Bulk. Energies are from PBE.

The crystal system is trigonal. Its space group is R-3m (166). For the formation energy from raw total energies, the calculation gives -0.99 eV/f.u.

Cell lengths 5.312, 5.312, 8.674 Å; angles 72.17, 72.17, 60.00 degrees
Last column: magnetic moment on the atom in μB.
Sites, in units of the cell vectors:
1 Pt 0.344 0.344 0.969  0.01
2 Pt 0.656 0.656 0.031  0.01
3 Si 0.599 0.599 0.742  0.01
4 Si 0.401 0.940 0.258  0.01
5 Si 0.060 0.599 0.742  0.01
6 Si 0.401 0.401 0.258  0.01
7 Si 0.940 0.401 0.258  0.01
8 Si 0.599 0.060 0.742  0.01
9 Al 0.500 0.500 0.500  -0.01
10 Pu 0.000 0.000 0.000  -5.13

---

No. 3
Here is PmGe2Rh after structural relaxation from Alexandria via LeMat-Bulk. Energies are from PBE.

The crystal system is orthorhombic. Its space group is Cmcm (63). The calculation puts the energy above the most stable polymorph in this dataset at 2.8 meV per atom.

Cell lengths 4.365, 8.350, 8.996 Å; angles 90.00, 90.00, 105.15 degrees
Sites, in units of the cell vectors:
1 Ge 0.074 0.147 0.250
2 Ge 0.083 0.166 0.750
3 Ge 0.698 0.395 0.597
4 Ge 0.698 0.395 0.903
5 Ge 0.917 0.834 0.250
6 Ge 0.302 0.605 0.097
7 Ge 0.302 0.605 0.403
8 Ge 0.926 0.853 0.750
9 Pm 0.500 0.000 0.000
10 Pm 0.705 0.410 0.250
11 Pm 0.500 0.000 0.500
12 Pm 0.295 0.590 0.750
13 Rh 0.853 0.707 0.000
14 Rh 0.147 0.293 0.000
15 Rh 0.853 0.707 0.500
16 Rh 0.147 0.293 0.500

---

No. 4
Here is In2O3 after structural relaxation from Alexandria via LeMat-Bulk. Energies are from PBE.

The crystal system is orthorhombic. Its space group is Cmcm (63). For the formation energy from raw total energies, the calculation gives -5.47 eV/f.u.

Cell lengths 2.983, 5.685, 7.450 Å; angles 90.00, 90.00, 105.21 degrees
Sites, in units of the cell vectors:
1 O 0.347 0.694 0.932
2 O 0.437 0.874 0.250
3 O 0.563 0.126 0.750
4 O 0.347 0.694 0.568
5 O 0.653 0.306 0.432
6 O 0.653 0.306 0.068
7 In 0.755 0.511 0.750
8 In 0.000 0.000 0.500
9 In 0.245 0.489 0.250
10 In 0.000 0.000 0.000

---

No. 5
Here is Ba2ZnSn4Ir3 after structural relaxation from Alexandria via LeMat-Bulk. Energies are from PBE.

The crystal system is tetragonal. Its space group is P-4m2 (115).

Cell lengths 4.737, 4.737, 10.880 Å; angles 90.00, 90.00, 90.00 degrees
Sites, in units of the cell vectors:
1 Sn 0.500 0.500 0.000
2 Sn 0.000 0.500 0.372
3 Sn 0.500 0.000 0.628
4 Sn 0.000 0.000 0.000
5 Ba 0.500 0.000 0.253
6 Ba 0.000 0.500 0.747
7 Ir 0.000 0.000 0.500
8 Ir 0.000 0.500 0.123
9 Ir 0.500 0.000 0.877
10 Zn 0.500 0.500 0.500

---

No. 6
Here is ZrReIr2 after structural relaxation from Alexandria via LeMat-Bulk. Energies are from PBE.

The crystal system is cubic. Its space group is F-43m (216). The calculation puts the energy above the most stable polymorph in this dataset at 414.1 meV per atom.

Cell lengths 4.521, 4.521, 4.521 Å; angles 60.00, 60.00, 60.00 degrees
Sites, in units of the cell vectors:
1 Zr 0.750 0.750 0.750
2 Ir 0.250 0.250 0.250
3 Ir 0.000 0.000 0.000
4 Re 0.500 0.500 0.500

---

No. 7
Here is Pr2Sn2HgRh5 after structural relaxation from Alexandria via LeMat-Bulk. Energies are from PBE.

The crystal system is tetragonal. Its space group is P4/mbm (127).

Cell lengths 3.780, 10.314, 10.314 Å; angles 90.00, 90.00, 90.00 degrees
Sites, in units of the cell vectors:
1 Rh 0.500 0.561 0.704
2 Rh 0.500 0.939 0.204
3 Rh 0.500 0.796 0.939
4 Rh 0.500 0.296 0.561
5 Rh 0.500 0.439 0.296
6 Rh 0.500 0.500 0.000
7 Rh 0.500 0.061 0.796
8 Rh 0.500 0.704 0.439
9 Rh 0.500 0.000 0.500
10 Rh 0.500 0.204 0.061
11 Pr 0.000 0.827 0.673
12 Pr 0.000 0.673 0.173
13 Pr 0.000 0.173 0.327
14 Pr 0.000 0.327 0.827
15 Hg 0.000 0.000 0.000
16 Hg 0.000 0.500 0.500
17 Sn 0.000 0.374 0.126
18 Sn 0.000 0.126 0.626
19 Sn 0.000 0.626 0.874
20 Sn 0.000 0.874 0.374

---

No. 8
Here is CaAlNi3 after structural relaxation from Alexandria via LeMat-Bulk. Energies are from PBE.

The crystal system is cubic. Its space group is Pm-3m (221). The calculation puts the energy above the most stable polymorph in this dataset at 0.0 meV per atom.

Cell lengths 4.426, 4.426, 4.426 Å; angles 90.00, 90.00, 90.00 degrees
Sites, in units of the cell vectors:
1 Ni 0.000 0.500 0.000
2 Ni 0.000 0.000 0.500
3 Ni 0.500 0.000 0.000
4 Al 0.000 0.000 0.000
5 Ca 0.500 0.500 0.500

---

Energy / eV per atom: -3.81, -6.37, -6.18, -5.16, -5.16, -9.67, -5.91, -4.47
Density of states at the Fermi level / states/eV per atom: 1.07, 1.74, 0.37, 0.13, 0.77, 1.07, 0.25, 0.88